TbHfFe2 | PBE | optimized geometry

Density (g cm⁻³): 11.02
Final energy (eV per atom): -7.90
ΔH_f (0 K) (eV/atom): -0.02
Spin magnetization (μB per atom): 0.095
Calculated volume (A^3/atom): 16.92

```
TbHfFe2
1.0
3.216 0.000 0.000
0.000 3.216 0.000
0.000 0.000 6.543
Tb Hf Fe
1 1 2
Cartesian
1.608 1.608 3.272
1.608 1.608 0.000
0.000 0.000 5.079
0.000 0.000 1.464
```

---

LiZn4Cu2 | PBE | optimized geometry

Density (g cm⁻³): 6.44
Final energy (eV per atom): -2.24
ΔH_f (0 K) (eV/atom): -0.07
Spin magnetization (μB per atom): 0.000
Calculated volume (A^3/atom): 14.57
ΔE to the lowest computed polymorph (meV per atom): 41

```
LiZn4Cu2
1.0
-2.560 3.730 5.879
-3.152 1.395 -3.522
-0.506 -7.006 0.028
Li Zn Cu
2 8 4
Cartesian
-3.234 -1.086 3.271
-5.751 -1.601 1.875
-3.383 -3.982 -1.571
-3.712 3.382 2.950
-2.105 -1.689 -1.051
-3.803 -0.259 0.506
-1.148 -1.078 1.373
-1.909 1.365 4.113
-1.255 -4.004 -0.055
-2.324 1.578 1.458
-2.038 0.838 -0.973
-1.710 -3.373 2.605
-4.554 1.014 2.473
-3.347 -2.749 0.875
```

---

ReSnSb2 | PBE | optimized geometry

Density (g cm⁻³): 7.00
Final energy (eV per atom): -5.50
Spin magnetization (μB per atom): 0.000
Uncorrected formation energy (eV per atom): 0.67
Calculated volume (A^3/atom): 32.51

```
ReSnSb2
1.0
-3.238 5.083 -2.155
-4.330 -3.888 -2.664
-7.182 0.707 2.954
Re Sn Sb
2 2 4
Cartesian
0.000 0.000 0.000
-7.102 3.194 -0.806
-3.784 0.598 -2.410
-7.648 -1.291 -1.060
-4.533 3.139 -1.057
-4.734 -1.889 -1.081
-7.993 1.186 0.550
-12.239 1.369 -2.144
```

---

Ac2MgTl3Cd4 | PBE | optimized geometry

Density (g cm⁻³): 8.98
Final energy (eV per atom): -2.27
ΔH_f (0 K) (eV/atom): -0.21
Spin magnetization (μB per atom): 0.000
Calculated volume (A^3/atom): 28.51

```
Ac2MgTl3Cd4
1.0
4.780 0.000 0.000
0.000 4.780 0.000
0.000 0.000 12.478
Ac Mg Tl Cd
2 1 3 4
Cartesian
2.390 0.000 3.049
0.000 2.390 9.429
2.390 2.390 6.239
0.000 0.000 6.239
2.390 0.000 10.732
0.000 2.390 1.746
2.390 2.390 0.000
0.000 0.000 0.000
2.390 0.000 7.926
0.000 2.390 4.552
```

---

AlRuBr2 | PBE | optimized geometry

Density (g cm⁻³): 5.39
Final energy (eV per atom): -3.50
Spin magnetization (μB per atom): 0.752
Uncorrected formation energy (eV per atom): 0.59
Calculated volume (A^3/atom): 22.16
ΔE to the lowest computed polymorph (meV per atom): 801

```
AlRuBr2
1.0
3.362 0.000 0.000
0.000 3.362 0.000
0.000 0.000 7.839
Ru Al Br
1 1 2
Cartesian
1.681 1.681 1.960
1.681 1.681 5.879
0.000 0.000 0.254
0.000 0.000 3.666
```

---

HgSbRh | PBE | optimized geometry

Density (g cm⁻³): 11.54
Final energy (eV per atom): -3.95
Spin magnetization (μB per atom): 0.000
Uncorrected formation energy (eV per atom): -0.02
Calculated volume (A^3/atom): 20.40
ΔE to the lowest computed polymorph (meV per atom): 83

```
HgSbRh
1.0
4.291 -3.428 -0.234
1.184 -3.937 3.650
-4.109 2.055 -3.018
Hg Sb Rh
1 1 1
Cartesian
0.024 -0.032 0.015
1.665 -2.241 1.039
3.785 -5.092 2.361
```

---

NdYCoRu | PBE | optimized geometry

Density (g cm⁻³): 8.04
Final energy (eV per atom): -7.00
ΔH_f (0 K) (eV/atom): -0.09
Spin magnetization (μB per atom): 0.000
Calculated volume (A^3/atom): 20.31

```
NdYCoRu
1.0
-0.766 -2.146 -4.294
-4.062 -2.565 -0.745
-3.436 1.702 -2.989
Y Ru Nd Co
1 1 1 1
Cartesian
-4.132 -1.504 -4.014
-6.198 -2.256 -6.021
0.000 0.000 0.000
-2.066 -0.752 -2.007
```

---

SrSc2W | PBE | optimized geometry

Density (g cm⁻³): 6.16
Final energy (eV per atom): -6.18
ΔH_f (0 K) (eV/atom): 0.64
Spin magnetization (μB per atom): 0.001
Calculated volume (A^3/atom): 24.35
ΔE to the lowest computed polymorph (meV per atom): 278

```
SrSc2W
1.0
-0.117 -2.163 2.161
3.030 0.315 -0.295
-0.047 7.473 7.478
Sc Sr W
2 1 1
Cartesian
-0.046 7.259 7.264
1.446 0.744 2.602
-0.025 3.952 3.954
1.420 4.879 6.740
```

---

Rb3OsCl | PBE | optimized geometry

Density (g cm⁻³): 3.13
Final energy (eV per atom): -2.71
Spin magnetization (μB per atom): 0.400
Uncorrected formation energy (eV per atom): 0.49
Calculated volume (A^3/atom): 51.14
ΔE to the lowest computed polymorph (meV per atom): 0

```
Rb3OsCl
1.0
-0.504 -2.890 5.628
4.370 -4.242 -1.787
4.576 3.733 2.327
Os Rb Cl
1 3 1
Cartesian
0.000 0.000 0.000
2.185 -2.121 -0.894
2.288 1.867 1.163
-0.252 -1.445 2.814
4.221 -1.700 3.084
```

---

Tm2ZnOs | PBE | optimized geometry

Density (g cm⁻³): 9.94
Final energy (eV per atom): -5.08
ΔH_f (0 K) (eV/atom): 0.28
Spin magnetization (μB per atom): 0.000
Calculated volume (A^3/atom): 24.78
ΔE to the lowest computed polymorph (meV per atom): 644

```
Tm2ZnOs
1.0
-2.337 -1.891 -1.516
-1.509 -2.489 1.692
-8.454 4.961 3.107
Zn Tm Os
1 2 1
Cartesian
0.000 0.000 0.000
-6.286 3.020 2.185
-6.015 -2.438 1.098
-6.150 0.291 1.642
```

---

CaAc2Ga3Pt4 | PBE | optimized geometry

Density (g cm⁻³): 11.12
Final energy (eV per atom): -5.28
ΔH_f (0 K) (eV/atom): -0.93
Spin magnetization (μB per atom): 0.000
Calculated volume (A^3/atom): 22.15

```
CaAc2Ga3Pt4
1.0
4.393 0.000 0.000
0.000 4.393 0.000
0.000 0.000 11.478
Ca Ac Ga Pt
1 2 3 4
Cartesian
2.196 2.196 5.739
2.196 0.000 2.653
0.000 2.196 8.825
0.000 0.000 5.739
2.196 0.000 10.155
0.000 2.196 1.324
2.196 2.196 0.000
0.000 0.000 0.000
2.196 0.000 7.577
0.000 2.196 3.901
```

---

CaMnCr2N4 | PBE | optimized geometry

Density (g cm⁻³): 4.97
Final energy (eV per atom): -8.43
Spin magnetization (μB per atom): 0.150
Uncorrected formation energy (eV per atom): -0.46
Calculated volume (A^3/atom): 10.66

```
CaMnCr2N4
1.0
3.085 0.000 0.000
-1.542 5.965 0.000
0.000 0.000 9.269
Ca Mn Cr N
2 2 4 8
Cartesian
0.000 0.824 6.952
1.542 5.142 2.317
1.542 3.494 6.952
0.000 2.471 2.317
0.000 4.787 4.996
1.542 1.179 0.361
1.542 1.179 4.274
0.000 4.787 8.908
0.000 3.724 0.983
1.542 2.242 5.618
1.542 2.242 8.286
0.000 3.724 3.651
0.000 0.000 4.635
0.000 0.000 0.000
0.000 4.691 6.952
1.542 1.275 2.317
```

---

KCa2Y | PBE | optimized geometry

Density (g cm⁻³): 2.02
Final energy (eV per atom): -2.53
ΔH_f (0 K) (eV/atom): 0.36
Spin magnetization (μB per atom): 0.000
Calculated volume (A^3/atom): 42.73
ΔE to the lowest computed polymorph (meV per atom): 206

```
KCa2Y
1.0
0.000 4.405 4.405
4.405 0.000 4.405
4.405 4.405 0.000
Y Ca K
1 2 1
Cartesian
4.405 4.405 4.405
2.202 2.202 2.202
6.607 6.607 6.607
0.000 0.000 0.000
```

---

AlP2 | PBE | optimized geometry

Density (g cm⁻³): 2.62
Final energy (eV per atom): -5.05
ΔH_f (0 K) (eV/atom): -0.20
Spin magnetization (μB per atom): 0.000
Calculated volume (A^3/atom): 18.79

```
AlP2
1.0
1.094 3.688 -3.374
-2.583 2.978 -3.263
-0.981 4.993 -0.541
Al P
1 2
Cartesian
-1.235 5.830 -3.589
-0.186 0.879 -0.541
-2.284 10.780 -6.637
```

---

Mn2Al2P | PBE | optimized geometry

Density (g cm⁻³): 4.99
Final energy (eV per atom): -6.54
ΔH_f (0 K) (eV/atom): -0.29
Spin magnetization (μB per atom): 0.000
Calculated volume (A^3/atom): 12.96
ΔE to the lowest computed polymorph (meV per atom): 0

```
Mn2Al2P
1.0
-2.748 2.319 -4.491
-4.526 -3.405 1.011
-1.532 2.733 2.349
P Mn Al
2 4 4
Cartesian
0.000 0.000 0.000
-3.637 -0.543 -1.740
-4.817 -2.084 -0.717
-5.275 -0.235 -3.167
-2.456 0.998 -2.763
-1.998 -0.851 -0.313
-4.197 -0.510 1.121
-6.380 0.041 -0.944
-4.608 2.158 -2.252
-2.425 1.607 -0.187
```

---

P2IrPb | PBE | optimized geometry

Density (g cm⁻³): 9.52
Final energy (eV per atom): -5.74
ΔH_f (0 K) (eV/atom): 0.11
Spin magnetization (μB per atom): 0.000
Calculated volume (A^3/atom): 20.11

```
P2IrPb
1.0
-5.091 3.778 2.846
-6.736 1.277 -1.135
5.288 -4.473 0.567
Ir P Pb
1 2 1
Cartesian
-3.394 -0.457 0.102
-1.238 0.529 0.179
-2.751 0.870 2.118
-5.070 2.167 0.734
```

---

RbCrRe2 | PBE | optimized geometry

Density (g cm⁻³): 12.85
Final energy (eV per atom): -6.76
ΔH_f (0 K) (eV/atom): 2.11
Spin magnetization (μB per atom): 0.001
Calculated volume (A^3/atom): 16.47
ΔE to the lowest computed polymorph (meV per atom): 198

```
RbCrRe2
1.0
3.295 -2.995 -0.849
1.124 -3.081 3.130
-1.021 -4.369 -0.651
Re Rb Cr
2 1 1
Cartesian
0.850 -2.611 0.407
2.549 -7.834 1.222
1.699 -5.223 0.815
0.000 0.000 0.000
```

---

Ho2Re2N5 | PBE | optimized geometry

Density (g cm⁻³): 10.96
Final energy (eV per atom): -9.08
Spin magnetization (μB per atom): 0.000
Uncorrected formation energy (eV per atom): -0.67
Calculated volume (A^3/atom): 13.00

```
Ho2Re2N5
1.0
5.494 0.000 -1.800
-0.554 5.122 -1.692
-0.274 -0.110 8.447
Ho Re N
4 4 10
Cartesian
4.390 1.876 4.343
0.282 3.075 0.631
1.502 4.437 4.353
3.170 0.514 0.621
-0.549 5.075 -1.676
2.475 2.514 -1.731
3.765 3.922 1.490
0.871 1.361 3.375
3.780 3.917 -2.345
0.613 3.614 6.467
4.083 1.356 -1.508
0.864 1.053 7.322
3.564 4.255 3.315
1.120 0.585 1.697
2.113 1.693 4.727
2.571 3.146 0.285
4.770 0.572 2.386
0.036 3.134 3.000
```

---

Ac3CdHg2 | PBE | optimized geometry

Density (g cm⁻³): 9.90
Final energy (eV per atom): -2.72
ΔH_f (0 K) (eV/atom): -0.41
Spin magnetization (μB per atom): 0.124
Calculated volume (A^3/atom): 33.39

```
Ac3CdHg2
1.0
4.061 0.000 0.000
0.000 4.061 0.000
0.000 0.000 12.147
Ac Cd Hg
3 1 2
Cartesian
0.000 0.000 0.000
0.000 0.000 8.118
0.000 0.000 4.029
2.031 2.031 6.074
2.031 2.031 10.113
2.031 2.031 2.034
```

---

KCu2Re | PBE | optimized geometry

Density (g cm⁻³): 5.53
Final energy (eV per atom): -4.11
ΔH_f (0 K) (eV/atom): 1.32
Spin magnetization (μB per atom): 0.758
Calculated volume (A^3/atom): 26.48
ΔE to the lowest computed polymorph (meV per atom): 670

```
KCu2Re
1.0
4.981 0.000 0.000
0.000 4.981 0.000
2.491 2.491 8.536
Re K Cu
2 2 4
Cartesian
0.000 0.000 0.000
4.981 2.491 4.268
2.491 2.491 0.000
2.491 4.981 4.268
4.980 1.245 2.134
4.982 3.736 2.134
3.736 2.491 6.402
6.226 2.490 6.402
```

---

Mg8BiPb2 | PBE | optimized geometry

Density (g cm⁻³): 4.97
Final energy (eV per atom): -2.25
ΔH_f (0 K) (eV/atom): -0.06
Spin magnetization (μB per atom): 0.000
Calculated volume (A^3/atom): 24.82
ΔE to the lowest computed polymorph (meV per atom): 0

```
Mg8BiPb2
1.0
4.618 0.000 0.000
0.000 7.342 0.363
-2.309 -2.646 7.922
Mg Bi Pb
8 1 2
Cartesian
0.000 1.807 6.720
2.309 5.755 3.200
2.309 4.047 6.023
2.309 -0.366 7.366
0.000 0.649 2.263
0.000 -1.058 5.086
2.309 2.890 1.565
0.000 5.062 0.919
2.309 0.000 0.000
2.309 1.069 4.548
0.000 3.628 3.738
```

---

CdRuBr2 | PBE | optimized geometry

Density (g cm⁻³): 5.67
Final energy (eV per atom): -3.09
Spin magnetization (μB per atom): 0.444
Uncorrected formation energy (eV per atom): 0.30
Calculated volume (A^3/atom): 27.33
ΔE to the lowest computed polymorph (meV per atom): 328

```
CdRuBr2
1.0
3.631 -0.017 0.000
-2.089 2.970 0.000
0.000 0.000 10.169
Ru Br Cd
1 2 1
Cartesian
0.771 1.477 7.627
0.000 0.000 9.497
0.000 0.000 5.757
0.771 1.477 2.542
```

---

NiBiAu | PBE | optimized geometry

Density (g cm⁻³): 12.56
Final energy (eV per atom): -4.29
ΔH_f (0 K) (eV/atom): 0.02
Spin magnetization (μB per atom): 0.000
Calculated volume (A^3/atom): 20.47
ΔE to the lowest computed polymorph (meV per atom): 0

```
NiBiAu
1.0
4.428 0.000 0.000
2.214 3.835 0.000
2.214 1.278 3.616
Ni Au Bi
1 1 1
Cartesian
2.214 1.278 0.904
4.428 2.557 1.808
0.000 0.000 0.000
```

---

NaSr2PaBi4 | PBE | optimized geometry

Density (g cm⁻³): 7.32
Final energy (eV per atom): -4.12
ΔH_f (0 K) (eV/atom): -0.41
Spin magnetization (μB per atom): 0.000
Calculated volume (A^3/atom): 35.86

```
NaSr2PaBi4
1.0
4.885 0.000 0.000
0.000 7.241 -0.297
0.000 -2.948 8.230
Na Sr Pa Bi
1 2 1 4
Cartesian
2.443 3.621 -0.148
2.443 -1.474 4.115
0.000 2.146 3.967
0.000 0.000 0.000
2.443 1.008 1.776
2.443 3.285 6.157
0.000 -0.554 6.272
0.000 4.847 1.661
```

---

MnTl2S | PBE | optimized geometry

Density (g cm⁻³): 8.42
Final energy (eV per atom): -4.23
Spin magnetization (μB per atom): 1.151
Uncorrected formation energy (eV per atom): 0.28
Calculated volume (A^3/atom): 24.45
ΔE to the lowest computed polymorph (meV per atom): 0

```
MnTl2S
1.0
7.900 0.000 0.000
0.000 7.900 0.000
3.950 3.950 3.134
Tl Mn S
4 2 2
Cartesian
5.887 1.975 0.784
2.013 5.925 0.784
5.925 5.963 2.351
9.875 9.838 2.351
0.000 0.000 0.000
7.900 3.950 1.567
3.950 3.950 0.000
3.950 7.900 1.567
```